Record 1
Crystalline Pm3AlPd at its relaxed geometry, computed with GGA-PBE.

Values from the calculation:
The value obtained for the energy relative to the elements is -1.8 eV/f.u. As for the magnetization: 1.03 μB/cell.

Structure (CIF):
```
data_Pm3AlPd
_chemical_formula_sum 'Pm9 Al3 Pd3'
_symmetry_space_group_name_H-M 'P 1'
_symmetry_Int_Tables_number 1
_symmetry_space_group_name_Hall 'P 1'
_cell_length_a 7.3542
_cell_length_b 7.3542
_cell_length_c 7.3542
_cell_angle_alpha 90.00
_cell_angle_beta 90.00
_cell_angle_gamma 90.00
loop_
_atom_site_label
_atom_site_type_symbol
_atom_site_fract_x
_atom_site_fract_y
_atom_site_fract_z
Pd1 Pd 0.0000 0.5000 0.0000
Pd2 Pd 0.0000 0.0000 0.5000
Pd3 Pd 0.5000 0.0000 0.0000
Pm1 Pm 0.2344 0.7656 0.2344
Pm2 Pm 0.7656 0.7656 0.7656
Pm3 Pm 0.2344 0.2344 0.2344
Pm4 Pm 0.7656 0.7656 0.2344
Pm5 Pm 0.7656 0.2344 0.2344
Pm6 Pm 0.7656 0.2344 0.7656
Pm7 Pm 0.2344 0.2344 0.7656
Pm8 Pm 0.5000 0.5000 0.5000
Pm9 Pm 0.2344 0.7656 0.7656
Al1 Al 0.5000 0.5000 0.0000
Al2 Al 0.0000 0.5000 0.5000
Al3 Al 0.5000 0.0000 0.5000
```

=====

Record 2
Crystalline PmAlPd2 at its relaxed geometry, computed with GGA-PBE.

Values from the calculation:
The value obtained for the energy relative to the elements is -3.0 eV/f.u. As for the magnetization: 0.00 μB/cell.

Structure (CIF):
```
data_PmAlPd2
_chemical_formula_sum 'Pm1 Al1 Pd2'
_symmetry_space_group_name_H-M 'P 1'
_symmetry_Int_Tables_number 1
_symmetry_space_group_name_Hall 'P 1'
_cell_length_a 3.1625
_cell_length_b 3.1625
_cell_length_c 7.3578
_cell_angle_alpha 90.00
_cell_angle_beta 90.00
_cell_angle_gamma 90.00
loop_
_atom_site_label
_atom_site_type_symbol
_atom_site_fract_x
_atom_site_fract_y
_atom_site_fract_z
Al1 Al 0.5000 0.5000 0.0000
Pm1 Pm 0.5000 0.5000 0.5000
Pd1 Pd 0.0000 0.0000 0.8036
Pd2 Pd 0.0000 0.0000 0.1964
```

=====

Record 3
Crystalline PmAl2Pd at its relaxed geometry, computed with GGA-PBE.

Values from the calculation:
The value obtained for the energy relative to the elements is -3.0 eV/f.u. As for the magnetization: 0.00 μB/cell. The calculation puts the energy above the most stable polymorph in this dataset at 0.00 eV per formula unit.

Structure (CIF):
```
data_PmAl2Pd
_chemical_formula_sum 'Pm2 Al4 Pd2'
_symmetry_space_group_name_H-M 'P 1'
_symmetry_Int_Tables_number 1
_symmetry_space_group_name_Hall 'P 1'
_cell_length_a 4.2927
_cell_length_b 5.7900
_cell_length_c 7.0047
_cell_angle_alpha 90.00
_cell_angle_beta 90.00
_cell_angle_gamma 111.76
loop_
_atom_site_label
_atom_site_type_symbol
_atom_site_fract_x
_atom_site_fract_y
_atom_site_fract_z
Pd1 Pd 0.7863 0.5726 0.7500
Pd2 Pd 0.2137 0.4274 0.2500
Al1 Al 0.3471 0.6943 0.5551
Al2 Al 0.3471 0.6943 0.9449
Al3 Al 0.6529 0.3057 0.4449
Al4 Al 0.6529 0.3057 0.0551
Pm1 Pm 0.9355 0.8709 0.2500
Pm2 Pm 0.0645 0.1291 0.7500
```

=====

Record 4
Crystalline Pm3Al2Pd4 at its relaxed geometry, computed with GGA-PBE.

Values from the calculation:
The value obtained for the energy relative to the elements is -7.4 eV/f.u. As for the magnetization: 0.00 μB/cell.

Structure (CIF):
```
data_Pm3Al2Pd4
_chemical_formula_sum 'Pm3 Al2 Pd4'
_symmetry_space_group_name_H-M 'P 1'
_symmetry_Int_Tables_number 1
_symmetry_space_group_name_Hall 'P 1'
_cell_length_a 4.3468
_cell_length_b 5.5853
_cell_length_c 8.7928
_cell_angle_alpha 97.20
_cell_angle_beta 90.00
_cell_angle_gamma 112.90
loop_
_atom_site_label
_atom_site_type_symbol
_atom_site_fract_x
_atom_site_fract_y
_atom_site_fract_z
Pm1 Pm 0.6234 0.2467 0.3842
Pm2 Pm 0.0000 0.0000 0.0000
Pm3 Pm 0.3766 0.7533 0.6158
Al1 Al 0.6802 0.3603 0.7882
Al2 Al 0.3198 0.6397 0.2118
Pd1 Pd 0.7200 0.4400 0.0892
Pd2 Pd 0.9131 0.8263 0.3611
Pd3 Pd 0.2800 0.5600 0.9108
Pd4 Pd 0.0869 0.1737 0.6389
```

=====

Record 5
Crystalline Pm3AlPd4 at its relaxed geometry, computed with GGA-PBE.

Values from the calculation:
The value obtained for the energy relative to the elements is -5.7 eV/f.u. As for the magnetization: 0.00 μB/cell.

Structure (CIF):
```
data_Pm3AlPd4
_chemical_formula_sum 'Pm3 Al1 Pd4'
_symmetry_space_group_name_H-M 'P 1'
_symmetry_Int_Tables_number 1
_symmetry_space_group_name_Hall 'P 1'
_cell_length_a 4.1279
_cell_length_b 6.3850
_cell_length_c 8.1948
_cell_angle_alpha 112.93
_cell_angle_beta 104.59
_cell_angle_gamma 90.00
loop_
_atom_site_label
_atom_site_type_symbol
_atom_site_fract_x
_atom_site_fract_y
_atom_site_fract_z
Pd1 Pd 0.6181 0.4036 0.2362
Pd2 Pd 0.3819 0.5964 0.7638
Pd3 Pd 0.6181 0.8325 0.2362
Pd4 Pd 0.3819 0.1675 0.7638
Pm1 Pm 0.0000 0.5000 0.0000
Pm2 Pm 0.8084 0.8084 0.6167
Pm3 Pm 0.1916 0.1916 0.3833
Al1 Al 0.5000 0.0000 0.0000
```

=====

Record 6
Crystalline PmPrAl2Pd at its relaxed geometry, computed with GGA-PBE.

Values from the calculation:
The value obtained for the energy relative to the elements is -2.5 eV/f.u. As for the magnetization: 0.00 μB/cell.

Structure (CIF):
```
data_PmPrAl2Pd
_chemical_formula_sum 'Pm1 Pr1 Al2 Pd1'
_symmetry_space_group_name_H-M 'P 1'
_symmetry_Int_Tables_number 1
_symmetry_space_group_name_Hall 'P 1'
_cell_length_a 4.2109
_cell_length_b 4.7041
_cell_length_c 6.9502
_cell_angle_alpha 109.78
_cell_angle_beta 107.63
_cell_angle_gamma 90.00
loop_
_atom_site_label
_atom_site_type_symbol
_atom_site_fract_x
_atom_site_fract_y
_atom_site_fract_z
Al1 Al 0.0426 0.0426 0.0852
Al2 Al 0.7011 0.2011 0.4022
Pm1 Pm 0.1931 0.6931 0.3862
Pr1 Pr 0.4321 0.4321 0.8642
Pd1 Pd 0.8432 0.8432 0.6865
```

=====

Record 7
Crystalline PmPrAlPd at its relaxed geometry, computed with GGA-PBE.

Values from the calculation:
The value obtained for the energy relative to the elements is -1.8 eV/f.u. As for the magnetization: 0.00 μB/cell. The calculation puts the energy above the most stable polymorph in this dataset at 0.36 eV per formula unit.

Structure (CIF):
```
data_PmPrAlPd
_chemical_formula_sum 'Pm1 Pr1 Al1 Pd1'
_symmetry_space_group_name_H-M 'P 1'
_symmetry_Int_Tables_number 1
_symmetry_space_group_name_Hall 'P 1'
_cell_length_a 5.2361
_cell_length_b 5.2361
_cell_length_c 5.2361
_cell_angle_alpha 60.00
_cell_angle_beta 60.00
_cell_angle_gamma 60.00
loop_
_atom_site_label
_atom_site_type_symbol
_atom_site_fract_x
_atom_site_fract_y
_atom_site_fract_z
Pd1 Pd 0.0000 0.0000 0.0000
Pr1 Pr 0.7500 0.7500 0.7500
Al1 Al 0.5000 0.5000 0.5000
Pm1 Pm 0.2500 0.2500 0.2500
```

=====

Record 8
Crystalline PmPrAl2Pd5 at its relaxed geometry, computed with GGA-PBE.

Values from the calculation:
The value obtained for the energy relative to the elements is -7.1 eV/f.u. As for the magnetization: 0.00 μB/cell.

Structure (CIF):
```
data_PmPrAl2Pd5
_chemical_formula_sum 'Pm1 Pr1 Al2 Pd5'
_symmetry_space_group_name_H-M 'P 1'
_symmetry_Int_Tables_number 1
_symmetry_space_group_name_Hall 'P 1'
_cell_length_a 4.3331
_cell_length_b 4.3331
_cell_length_c 9.2347
_cell_angle_alpha 90.00
_cell_angle_beta 90.00
_cell_angle_gamma 90.00
loop_
_atom_site_label
_atom_site_type_symbol
_atom_site_fract_x
_atom_site_fract_y
_atom_site_fract_z
Pd1 Pd 0.0000 0.5000 0.7272
Pd2 Pd 0.0000 0.5000 0.2728
Pd3 Pd 0.5000 0.5000 0.5000
Pd4 Pd 0.5000 0.0000 0.7272
Pd5 Pd 0.5000 0.0000 0.2728
Pm1 Pm 0.0000 0.0000 0.0000
Pr1 Pr 0.0000 0.0000 0.5000
Al1 Al 0.5000 0.5000 0.8558
Al2 Al 0.5000 0.5000 0.1442
```

=====

Record 9
Crystalline PmPrAlPd at its relaxed geometry, computed with GGA-PBE.

Values from the calculation:
The value obtained for the energy relative to the elements is -2.2 eV/f.u. As for the magnetization: 0.00 μB/cell. The calculation puts the energy above the most stable polymorph in this dataset at 0.00 eV per formula unit.

Structure (CIF):
```
data_PmPrAlPd
_chemical_formula_sum 'Pm1 Pr1 Al1 Pd1'
_symmetry_space_group_name_H-M 'P 1'
_symmetry_Int_Tables_number 1
_symmetry_space_group_name_Hall 'P 1'
_cell_length_a 4.4864
_cell_length_b 4.3192
_cell_length_c 5.8366
_cell_angle_alpha 90.00
_cell_angle_beta 112.60
_cell_angle_gamma 90.00
loop_
_atom_site_label
_atom_site_type_symbol
_atom_site_fract_x
_atom_site_fract_y
_atom_site_fract_z
Pm1 Pm 0.8590 0.5000 0.7180
Pd1 Pd 0.4276 0.0000 0.8553
Al1 Al 0.5648 0.5000 0.1296
Pr1 Pr 0.1486 0.0000 0.2971
```

=====

Record 10
Crystalline Pm2PrAlPd4 at its relaxed geometry, computed with GGA-PBE.

Values from the calculation:
The value obtained for the energy relative to the elements is -5.8 eV/f.u. As for the magnetization: 0.00 μB/cell.

Structure (CIF):
```
data_Pm2PrAlPd4
_chemical_formula_sum 'Pm2 Pr1 Al1 Pd4'
_symmetry_space_group_name_H-M 'P 1'
_symmetry_Int_Tables_number 1
_symmetry_space_group_name_Hall 'P 1'
_cell_length_a 4.9171
_cell_length_b 4.9171
_cell_length_c 8.7543
_cell_angle_alpha 73.69
_cell_angle_beta 73.69
_cell_angle_gamma 60.00
loop_
_atom_site_label
_atom_site_type_symbol
_atom_site_fract_x
_atom_site_fract_y
_atom_site_fract_z
Pd1 Pd 0.8721 0.8721 0.3837
Pd2 Pd 0.3932 0.3932 0.8204
Pd3 Pd 0.6068 0.6068 0.1796
Pd4 Pd 0.1279 0.1279 0.6163
Pr1 Pr 0.0000 0.0000 0.0000
Al1 Al 0.5000 0.5000 0.5000
Pm1 Pm 0.7566 0.7566 0.7303
Pm2 Pm 0.2434 0.2434 0.2697
```

=====

Sequential DOS at the Fermi energy output: 1.169, 0.377, 0.660, 0.711, 0.563, 0.603, 0.993, 0.788, 1.074, 0.640 states/eV/atom